1.
VASP calculation (GGA-PBE) on an optimized crystal structure of Sr2TeBr.

Cell and atoms, written as extended XYZ:
```
4
Lattice="-3.521 -3.749 -2.750 -1.789 -4.844 2.711 -5.566 -0.526 1.660" Properties=species:S:1:pos:R:3 pbc="T T T"
Sr 0.000 0.000 0.000
Sr -2.719 -2.280 0.405
Te -8.158 -6.840 1.215
Br -5.438 -4.560 0.810
```

Properties
The calculation puts the calculated total energy at -2.8008 eV per atom. The value obtained for the raw formation energy is -3.02 eV per formula unit. The energy above the most stable polymorph in this dataset is 805 meV/atom.

***

2.
VASP calculation (GGA-PBE) on an optimized crystal structure of Li2MgTa.

Cell and atoms, written as extended XYZ:
```
4
Lattice="5.279 0.000 0.000 2.159 4.817 0.000 -3.719 -2.408 2.870" Properties=species:S:1:pos:R:3 pbc="T T T"
Li 0.000 0.000 0.000
Li 1.079 2.408 1.435
Mg 3.719 2.408 0.000
Ta 2.639 0.000 1.435
```

Properties
The calculation puts the calculated total energy at -3.6050 eV per atom. As for the formation energy: 0.7137 eV/atom.